First-principles (GGA-PBE) data for a relaxed SrAcSb2 crystal, as listed in Alexandria via LeMat-Bulk.

Values from the calculation:
E above lowest polymorph (eV/atom): 0.0000
ρ (g cm⁻³): 5.98
Size of the total moment (μB per atom): 0.00

Cell: 6.759 6.760 13.577 Å, 90.00 90.04 90.00°
Fractional positions:
1 Sr 0.500 0.750 0.375
2 Sr 0.500 0.250 0.625
3 Sr 0.000 0.750 0.125
4 Sr 0.000 0.250 0.875
5 Ac 0.000 0.750 0.625
6 Ac 0.000 0.250 0.375
7 Ac 0.500 0.750 0.875
8 Ac 0.500 0.250 0.125
9 Sb 0.000 0.250 0.129
10 Sb 0.000 0.750 0.871
11 Sb 0.500 0.250 0.371
12 Sb 0.500 0.750 0.629
13 Sb 0.500 0.250 0.879
14 Sb 0.500 0.750 0.121
15 Sb 0.000 0.250 0.621
16 Sb 0.000 0.750 0.379